No. 1
ZnTcN after structural relaxation. Source: Alexandria via LeMat-Bulk, functional GGA-PBE.

Energy (eV per atom): -6.454
ΔE_f (raw) (eV per atom): 0.20
Symmetry: Cm, No. 8
Calculated volume (A^3/atom): 13.111

a b c (Å): 5.700 3.292 4.192
angles (deg): 90.00 90.39 90.00
Atoms (fractional coordinates):
1 Zn 0.000 0.000 0.000
2 Zn 0.500 0.500 0.000
3 Tc 0.330 0.000 0.510
4 Tc 0.830 0.500 0.510
5 N 0.163 0.500 0.403
6 N 0.663 0.000 0.403

=====

No. 2
ZnTcN after structural relaxation. Source: Alexandria via LeMat-Bulk, functional GGA-PBE.

Energy (eV per atom): -6.659
ΔE_f (raw) (eV per atom): 0.00
Symmetry: Pnma, No. 62
Calculated volume (A^3/atom): 12.426

a b c (Å): 10.125 2.969 4.960
angles (deg): 90.00 90.00 90.00
Atoms (fractional coordinates):
1 Zn 0.048 0.250 0.222
2 Zn 0.452 0.750 0.722
3 Zn 0.548 0.250 0.278
4 Zn 0.952 0.750 0.778
5 Tc 0.242 0.250 0.851
6 Tc 0.258 0.750 0.351
7 Tc 0.742 0.250 0.649
8 Tc 0.758 0.750 0.149
9 N 0.136 0.750 0.666
10 N 0.364 0.250 0.166
11 N 0.636 0.750 0.834
12 N 0.864 0.250 0.334

=====

No. 3
ZnTcN after structural relaxation. Source: Alexandria via LeMat-Bulk, functional GGA-PBE.

Energy (eV per atom): -6.667
ΔE_f (raw) (eV per atom): -0.01
Symmetry: C2/m, No. 12
Calculated volume (A^3/atom): 12.616

a b c (Å): 10.155 2.899 5.632
angles (deg): 90.00 114.08 90.00
Atoms (fractional coordinates):
1 Zn 0.099 0.000 0.355
2 Zn 0.401 0.500 0.645
3 Zn 0.599 0.500 0.355
4 Zn 0.901 0.000 0.645
5 Tc 0.144 0.500 0.992
6 Tc 0.356 0.000 0.008
7 Tc 0.644 0.000 0.992
8 Tc 0.856 0.500 0.008
9 N 0.149 0.000 0.736
10 N 0.351 0.500 0.264
11 N 0.649 0.500 0.736
12 N 0.851 0.000 0.264

=====

No. 4
Zr2ZnTcN after structural relaxation. Source: Alexandria via LeMat-Bulk, functional GGA-PBE.

Energy (eV per atom): -8.018
ΔE_f (raw) (eV per atom): -0.61
Symmetry: P4/mmm, No. 123
Calculated volume (A^3/atom): 16.143

a b c (Å): 4.510 4.510 3.968
angles (deg): 90.00 90.00 90.00
Atoms (fractional coordinates):
1 Zr 0.000 0.500 0.000
2 Zr 0.500 0.000 0.000
3 Zn 0.000 0.000 0.500
4 Tc 0.500 0.500 0.500
5 N 0.500 0.500 0.000

=====

No. 5
ZrTcN after structural relaxation. Source: Alexandria via LeMat-Bulk, functional GGA-PBE.

Energy (eV per atom): -9.602
ΔE_f (raw) (eV per atom): -0.52
Symmetry: P4/nmm, No. 129
Calculated volume (A^3/atom): 14.628

a b c (Å): 3.336 3.336 7.885
angles (deg): 90.00 90.00 90.00
Atoms (fractional coordinates):
1 Zr 0.250 0.250 0.155
2 Zr 0.750 0.750 0.845
3 Tc 0.250 0.750 0.500
4 Tc 0.750 0.250 0.500
5 N 0.250 0.250 0.880
6 N 0.750 0.750 0.120

=====

No. 6
ZrTcN after structural relaxation. Source: Alexandria via LeMat-Bulk, functional GGA-PBE.

Energy (eV per atom): -9.816
ΔE_f (raw) (eV per atom): -0.74
Symmetry: Cm, No. 8
Calculated volume (A^3/atom): 13.850

a b c (Å): 10.699 3.115 5.183
angles (deg): 90.00 105.80 90.00
Atoms (fractional coordinates):
1 Zr 0.000 0.000 0.000
2 Zr 0.215 0.000 0.640
3 Zr 0.500 0.500 0.000
4 Zr 0.715 0.500 0.640
5 Tc 0.268 0.500 0.167
6 Tc 0.462 0.000 0.467
7 Tc 0.768 0.000 0.167
8 Tc 0.962 0.500 0.467
9 N 0.114 0.500 0.832
10 N 0.357 0.500 0.575
11 N 0.614 0.000 0.832
12 N 0.857 0.000 0.575

=====

No. 7
ZrTc2N4 after structural relaxation. Source: Alexandria via LeMat-Bulk, functional GGA-PBE.

Energy (eV per atom): -8.447
ΔE_f (raw) (eV per atom): 0.49
Symmetry: I4/mmm, No. 139
Calculated volume (A^3/atom): 13.760

a b c (Å): 4.246 4.246 10.686
angles (deg): 90.00 90.00 90.00
Atoms (fractional coordinates):
1 Zr 0.000 0.000 0.000
2 Zr 0.500 0.500 0.500
3 Tc 0.000 0.000 0.378
4 Tc 0.000 0.000 0.622
5 Tc 0.500 0.500 0.122
6 Tc 0.500 0.500 0.878
7 N 0.000 0.000 0.221
8 N 0.000 0.000 0.779
9 N 0.000 0.500 0.000
10 N 0.000 0.500 0.500
11 N 0.500 0.000 0.000
12 N 0.500 0.000 0.500
13 N 0.500 0.500 0.279
14 N 0.500 0.500 0.721

=====

No. 8
ZrTcN after structural relaxation. Source: Alexandria via LeMat-Bulk, functional GGA-PBE.

Energy (eV per atom): -9.888
ΔE_f (raw) (eV per atom): -0.81
Symmetry: Cmcm, No. 63
Calculated volume (A^3/atom): 13.637

a b c (Å): 3.175 11.281 4.569
angles (deg): 90.00 90.00 90.00
Atoms (fractional coordinates):
1 Zr 0.000 0.173 0.250
2 Zr 0.000 0.827 0.750
3 Zr 0.500 0.327 0.750
4 Zr 0.500 0.673 0.250
5 Tc 0.000 0.436 0.250
6 Tc 0.000 0.564 0.750
7 Tc 0.500 0.064 0.750
8 Tc 0.500 0.936 0.250
9 N 0.000 0.182 0.750
10 N 0.000 0.818 0.250
11 N 0.500 0.318 0.250
12 N 0.500 0.682 0.750

=====

No. 9
Zr2Tc2N after structural relaxation. Source: Alexandria via LeMat-Bulk, functional GGA-PBE.

Energy (eV per atom): -9.087
ΔE_f (raw) (eV per atom): 0.14
Symmetry: P4/mbm, No. 127
Calculated volume (A^3/atom): 15.874

a b c (Å): 5.655 5.655 4.964
angles (deg): 90.00 90.00 90.00
Atoms (fractional coordinates):
1 Zr 0.172 0.328 0.000
2 Zr 0.328 0.828 0.000
3 Zr 0.672 0.172 0.000
4 Zr 0.828 0.672 0.000
5 Tc 0.169 0.669 0.500
6 Tc 0.331 0.169 0.500
7 Tc 0.669 0.831 0.500
8 Tc 0.831 0.331 0.500
9 N 0.000 0.000 0.500
10 N 0.500 0.500 0.500

=====

No. 10
ZrTcN2 after structural relaxation. Source: Alexandria via LeMat-Bulk, functional GGA-PBE.

Energy (eV per atom): -9.085
ΔE_f (raw) (eV per atom): -0.19
Symmetry: Fm-3m, No. 225
Calculated volume (A^3/atom): 10.694

a b c (Å): 5.552 5.552 5.552
angles (deg): 90.00 90.00 90.00
Atoms (fractional coordinates):
1 Zr 0.000 0.000 0.000
2 Zr 0.000 0.500 0.500
3 Zr 0.500 0.000 0.500
4 Zr 0.500 0.500 0.000
5 Tc 0.000 0.000 0.500
6 Tc 0.000 0.500 0.000
7 Tc 0.500 0.000 0.000
8 Tc 0.500 0.500 0.500
9 N 0.250 0.250 0.250
10 N 0.250 0.250 0.750
11 N 0.250 0.750 0.250
12 N 0.250 0.750 0.750
13 N 0.750 0.250 0.250
14 N 0.750 0.250 0.750
15 N 0.750 0.750 0.250
16 N 0.750 0.750 0.750

=====

No. 11
ZrTcN2 after structural relaxation. Source: Alexandria via LeMat-Bulk, functional GGA-PBE.

Energy (eV per atom): -9.473
ΔE_f (raw) (eV per atom): -0.58
Symmetry: I-42d, No. 122
Calculated volume (A^3/atom): 13.652

a b c (Å): 4.630 4.630 10.190
angles (deg): 90.00 90.00 90.00
Atoms (fractional coordinates):
1 Zr 0.000 0.000 0.000
2 Zr 0.000 0.500 0.250
3 Zr 0.500 0.000 0.750
4 Zr 0.500 0.500 0.500
5 Tc 0.000 0.000 0.500
6 Tc 0.000 0.500 0.750
7 Tc 0.500 0.000 0.250
8 Tc 0.500 0.500 0.000
9 N 0.217 0.250 0.625
10 N 0.250 0.717 0.875
11 N 0.250 0.783 0.375
12 N 0.283 0.250 0.125
13 N 0.717 0.750 0.125
14 N 0.750 0.217 0.375
15 N 0.750 0.283 0.875
16 N 0.783 0.750 0.625

=====

No. 12
ZrTc3N after structural relaxation. Source: Alexandria via LeMat-Bulk, functional GGA-PBE.

Energy (eV per atom): -6.433
ΔE_f (raw) (eV per atom): 3.16
Symmetry: Pm-3m, No. 221
Calculated volume (A^3/atom): 22.318

a b c (Å): 4.814 4.814 4.814
angles (deg): 90.00 90.00 90.00
Atoms (fractional coordinates):
1 Zr 0.000 0.000 0.000
2 Tc 0.000 0.000 0.500
3 Tc 0.000 0.500 0.000
4 Tc 0.500 0.000 0.000
5 N 0.500 0.500 0.500

=====

No. 13
ZrTcN after structural relaxation. Source: Alexandria via LeMat-Bulk, functional GGA-PBE.

Energy (eV per atom): -9.709
ΔE_f (raw) (eV per atom): -0.63
Symmetry: Cm, No. 8
Calculated volume (A^3/atom): 13.696

a b c (Å): 11.016 3.110 4.889
angles (deg): 90.00 101.13 90.00
Atoms (fractional coordinates):
1 Zr 0.000 0.000 0.000
2 Zr 0.241 0.000 0.876
3 Zr 0.500 0.500 0.000
4 Zr 0.741 0.500 0.876
5 Tc 0.190 0.500 0.406
6 Tc 0.413 0.000 0.459
7 Tc 0.690 0.000 0.406
8 Tc 0.913 0.500 0.459
9 N 0.083 0.500 0.734
10 N 0.331 0.500 0.184
11 N 0.583 0.000 0.734
12 N 0.831 0.000 0.184

=====

No. 14
ZrTcN after structural relaxation. Source: Alexandria via LeMat-Bulk, functional GGA-PBE.

Energy (eV per atom): -9.907
ΔE_f (raw) (eV per atom): -0.83
Symmetry: Cmmm, No. 65
Calculated volume (A^3/atom): 13.792

a b c (Å): 6.559 7.959 3.170
angles (deg): 90.00 90.00 90.00
Atoms (fractional coordinates):
1 Zr 0.000 0.214 0.000
2 Zr 0.000 0.786 0.000
3 Zr 0.500 0.286 0.000
4 Zr 0.500 0.714 0.000
5 Tc 0.198 0.500 0.500
6 Tc 0.302 0.000 0.500
7 Tc 0.698 0.000 0.500
8 Tc 0.802 0.500 0.500
9 N 0.250 0.250 0.500
10 N 0.250 0.750 0.500
11 N 0.750 0.250 0.500
12 N 0.750 0.750 0.500

=====

No. 15
Zr4TcN after structural relaxation. Source: Alexandria via LeMat-Bulk, functional GGA-PBE.

Energy (eV per atom): -9.402
ΔE_f (raw) (eV per atom): -0.59
Symmetry: P2_1/c, No. 14
Calculated volume (A^3/atom): 18.737

a b c (Å): 6.043 5.908 6.413
angles (deg): 90.00 100.88 90.00
Atoms (fractional coordinates):
1 Zr 0.104 0.169 0.189
2 Zr 0.104 0.331 0.689
3 Zr 0.338 0.637 0.118
4 Zr 0.338 0.863 0.618
5 Zr 0.662 0.137 0.382
6 Zr 0.662 0.363 0.882
7 Zr 0.896 0.669 0.311
8 Zr 0.896 0.831 0.811
9 Tc 0.500 0.000 0.000
10 Tc 0.500 0.500 0.500
11 N 0.000 0.000 0.500
12 N 0.000 0.500 0.000

=====

No. 16
ZrTcN2 after structural relaxation. Source: Alexandria via LeMat-Bulk, functional GGA-PBE.

Energy (eV per atom): -9.286
ΔE_f (raw) (eV per atom): -0.39
Symmetry: R-3m, No. 166
Calculated volume (A^3/atom): 14.020

a b c (Å): 3.261 3.261 18.265
angles (deg): 90.00 90.00 120.00
Atoms (fractional coordinates):
1 Zr 0.000 0.000 0.000
2 Zr 0.333 0.667 0.667
3 Zr 0.667 0.333 0.333
4 Tc 0.000 0.000 0.500
5 Tc 0.333 0.667 0.167
6 Tc 0.667 0.333 0.833
7 N 0.000 0.000 0.396
8 N 0.000 0.000 0.604
9 N 0.333 0.667 0.062
10 N 0.333 0.667 0.271
11 N 0.667 0.333 0.729
12 N 0.667 0.333 0.938

=====

No. 17
Zr3TcN after structural relaxation. Source: Alexandria via LeMat-Bulk, functional GGA-PBE.

Energy (eV per atom): -9.497
ΔE_f (raw) (eV per atom): -0.63
Symmetry: Pm-3m, No. 221
Calculated volume (A^3/atom): 17.604

a b c (Å): 4.448 4.448 4.448
angles (deg): 90.00 90.00 90.00
Atoms (fractional coordinates):
1 Zr 0.000 0.000 0.500
2 Zr 0.000 0.500 0.000
3 Zr 0.500 0.000 0.000
4 Tc 0.500 0.500 0.500
5 N 0.000 0.000 0.000

=====

No. 18
Zr4TcN2 after structural relaxation. Source: Alexandria via LeMat-Bulk, functional GGA-PBE.

Energy (eV per atom): -9.780
ΔE_f (raw) (eV per atom): -1.04
Symmetry: Cmcm, No. 63
Calculated volume (A^3/atom): 15.891

a b c (Å): 5.864 5.864 11.834
angles (deg): 90.00 90.00 146.86
Atoms (fractional coordinates):
1 Zr 0.000 0.000 0.000
2 Zr 0.000 0.000 0.500
3 Zr 0.269 0.731 0.608
4 Zr 0.269 0.731 0.892
5 Zr 0.425 0.575 0.250
6 Zr 0.575 0.425 0.750
7 Zr 0.731 0.269 0.108
8 Zr 0.731 0.269 0.392
9 Tc 0.107 0.893 0.250
10 Tc 0.893 0.107 0.750
11 N 0.367 0.633 0.059
12 N 0.367 0.633 0.441
13 N 0.633 0.367 0.559
14 N 0.633 0.367 0.941

=====

No. 19
Zr3TcN after structural relaxation. Source: Alexandria via LeMat-Bulk, functional GGA-PBE.

Energy (eV per atom): -7.463
ΔE_f (raw) (eV per atom): 1.40
Symmetry: Pm-3m, No. 221
Calculated volume (A^3/atom): 24.553

a b c (Å): 4.970 4.970 4.970
angles (deg): 90.00 90.00 90.00
Atoms (fractional coordinates):
1 Zr 0.000 0.000 0.500
2 Zr 0.000 0.500 0.000
3 Zr 0.500 0.000 0.000
4 Tc 0.000 0.000 0.000
5 N 0.500 0.500 0.500

=====

No. 20
Zr12Tc6N after structural relaxation. Source: Alexandria via LeMat-Bulk, functional GGA-PBE.

Energy (eV per atom): -9.125
ΔE_f (raw) (eV per atom): -0.01
Symmetry: R-3, No. 148
Calculated volume (A^3/atom): 21.026

a b c (Å): 7.489 7.489 7.489
angles (deg): 99.74 99.74 99.74
Atoms (fractional coordinates):
1 Zr 0.008 0.690 0.929
2 Zr 0.071 0.992 0.310
3 Zr 0.179 0.420 0.548
4 Zr 0.310 0.071 0.992
5 Zr 0.420 0.548 0.179
6 Zr 0.452 0.821 0.580
7 Zr 0.548 0.179 0.420
8 Zr 0.580 0.452 0.821
9 Zr 0.690 0.929 0.008
10 Zr 0.821 0.580 0.452
11 Zr 0.929 0.008 0.690
12 Zr 0.992 0.310 0.071
13 Tc 0.129 0.645 0.299
14 Tc 0.299 0.129 0.645
15 Tc 0.355 0.701 0.871
16 Tc 0.645 0.299 0.129
17 Tc 0.701 0.871 0.355
18 Tc 0.871 0.355 0.701
19 N 0.000 0.000 0.000

=====

No. 21
ZrTcN2 after structural relaxation. Source: Alexandria via LeMat-Bulk, functional GGA-PBE.

Energy (eV per atom): -9.393
ΔE_f (raw) (eV per atom): -0.50
Symmetry: R3m, No. 160
Calculated volume (A^3/atom): 11.707

a b c (Å): 3.174 3.174 16.098
angles (deg): 90.00 90.00 120.00
Atoms (fractional coordinates):
1 Zr 0.000 0.000 0.000
2 Zr 0.333 0.667 0.667
3 Zr 0.667 0.333 0.333
4 Tc 0.000 0.000 0.183
5 Tc 0.333 0.667 0.850
6 Tc 0.667 0.333 0.517
7 N 0.000 0.000 0.407
8 N 0.000 0.000 0.578
9 N 0.333 0.667 0.073
10 N 0.333 0.667 0.245
11 N 0.667 0.333 0.740
12 N 0.667 0.333 0.911

=====

No. 22
Zr3TcN after structural relaxation. Source: Alexandria via LeMat-Bulk, functional GGA-PBE.

Energy (eV per atom): -9.685
ΔE_f (raw) (eV per atom): -0.82
Symmetry: Cmcm, No. 63
Calculated volume (A^3/atom): 17.154

a b c (Å): 6.153 6.153 8.650
angles (deg): 90.00 90.00 148.41
Atoms (fractional coordinates):
1 Zr 0.051 0.949 0.750
2 Zr 0.368 0.632 0.551
3 Zr 0.368 0.632 0.949
4 Zr 0.632 0.368 0.051
5 Zr 0.632 0.368 0.449
6 Zr 0.949 0.051 0.250
7 Tc 0.261 0.739 0.250
8 Tc 0.739 0.261 0.750
9 N 0.000 0.000 0.000
10 N 0.000 0.000 0.500

=====

No. 23
ZrTcN after structural relaxation. Source: Alexandria via LeMat-Bulk, functional GGA-PBE.

Energy (eV per atom): -9.879
ΔE_f (raw) (eV per atom): -0.80
Symmetry: P4/mmm, No. 123
Calculated volume (A^3/atom): 13.929

a b c (Å): 3.228 3.228 4.009
angles (deg): 90.00 90.00 90.00
Atoms (fractional coordinates):
1 Zr 0.000 0.000 0.000
2 Tc 0.500 0.500 0.500
3 N 0.500 0.500 0.000